# LaCoPb2O4 | Alexandria via LeMat-Bulk | PBE with a Hubbard U | relaxed
# - VASP energy: -6.099 eV/atom
# - DOS(E_F): 1.85 states/eV/f.u.
data_LaCoPb2O4
_chemical_formula_sum 'La4 Co4 Pb8 O16'
_symmetry_space_group_name_H-M 'C m c m'
_symmetry_Int_Tables_number 63
_symmetry_space_group_name_Hall '-C 2c 2'
_cell_length_a 3.561
_cell_length_b 14.851
_cell_length_c 10.886
_cell_angle_alpha 90.00
_cell_angle_beta 90.00
_cell_angle_gamma 90.00
loop_
_atom_site_label
_atom_site_type_symbol
_atom_site_fract_x
_atom_site_fract_y
_atom_site_fract_z
_atom_site_occupancy
La1 La 0.000 0.089 0.250 1
Co1 Co 0.000 0.239 0.750 1
Pb1 Pb 0.000 0.390 0.076 1
O1 O 0.000 0.000 0.000 1
O2 O 0.000 0.325 0.627 1
O3 O 0.000 0.489 0.250 1